Material: TmHf3Os4
Method: DFT, PBE
State: relaxed

Results
DFT formation energy   -0.583 eV/atom
E   -10.4896 eV/atom

abc: 4.629 6.563 9.258
angles: 90.00 90.00 90.00
Sites, in units of the cell vectors:
Hf: 0.500 0.000 0.250
Hf: 0.500 0.500 0.750
Hf: 0.500 0.000 0.750
Hf: 0.000 0.000 0.500
Hf: 0.500 0.500 0.250
Hf: 0.000 0.000 0.000
Os: 0.500 0.244 0.000
Os: 0.000 0.244 0.250
Os: 0.500 0.756 0.500
Os: 0.000 0.756 0.250
Os: 0.000 0.756 0.750
Os: 0.500 0.244 0.500
Os: 0.000 0.244 0.750
Os: 0.500 0.756 0.000
Tm: 0.000 0.500 0.000
Tm: 0.000 0.500 0.500